--- i ---
SnBIN2 PBE-GGA optimized geometry; space-group type = P4/mmm, No. 123
1.0
-1.008 -2.423 3.021
3.870 -0.528 0.868
-0.227 5.619 4.430
N B Sn I
2 1 1 1
Direct
0.500 0.000 0.000
0.000 0.500 0.000
0.500 0.500 0.500
0.000 0.000 0.000
0.000 0.000 0.500


--- ii ---
SnBIN2 PBE-GGA optimized geometry; space-group type = P4/mmm, No. 123
1.0
-3.502 1.690 0.993
-1.168 -0.167 -3.836
-1.841 -4.253 0.745
I N B Sn
1 2 1 1
Direct
0.000 0.000 0.500
0.500 0.000 0.000
0.000 0.500 0.000
0.000 0.000 0.000
0.500 0.500 0.500


Order from most stable to least stable according to the calculation: ii, i